! NaMgCoF2 PBE with a Hubbard U optimized geometry; values from VASP
&SYSTEM
  ibrav = 0, nat = 5, ntyp = 4
/
ATOMIC_SPECIES
Na 22.99 Na.upf
Mg 24.30 Mg.upf
Co 58.93 Co.upf
F 19.00 F.upf
ATOMIC_POSITIONS angstrom
Na 0.000 0.000 0.000
Mg 0.351 -1.307 -2.281
Co 1.262 -3.653 -0.796
F 1.831 -0.683 0.673
F -0.919 -1.663 0.812
CELL_PARAMETERS angstrom
-1.838 -3.327 1.624
0.701 -2.614 -4.562
3.661 -1.366 1.345
! VASP energy: -15.34 eV for the cell shown
! space-group type: P4/mmm